First-principles (GGA-PBE) data for a relaxed structure of Hf4Nb2As3C3, as listed in OQMD via LeMat-Bulk.

Calculated values
- ρ: 10.43 g/cm³
- VASP energy: -448.8 eV/cell

Unit cell a=10.1740 b=5.8871 c=12.7954 alpha=90.00 beta=105.35 gamma=90.00
With the nearest neighbours (Å) after each atom.
Space group C2/c (No. 15)
Unique sites:
Hf (0.1166, 0.0823, 0.0996)  3 C 2.30-2.32
Hf (0.2162, 0.0839, 0.4004)  3 C 2.30-2.32
Nb (0.0527, 0.4162, 0.9069)  3 C 2.27-2.29
As (0.0000, 0.0927, 0.7500)  2 Nb 2.72, 4 Hf 2.72
As (0.1620, 0.4215, 0.2500)  2 Nb 2.71-2.72, 4 Hf 2.72-2.73
C (0.0840, 0.2482, 0.5000)  2 Nb 2.28-2.29, 4 Hf 2.30-2.32
C (0.2500, 0.2500, 0.0000)  2 Nb 2.27, 4 Hf 2.31-2.32

---

First-principles (GGA-PBE) data for a relaxed structure of Hf3NbAs2C2, as listed in OQMD via LeMat-Bulk.

Calculated values
- ρ: 10.73 g/cm³
- VASP energy: -74.9 eV/cell

Unit cell a=3.3943 b=3.3943 c=12.4417 alpha=90.00 beta=90.00 gamma=120.00
With the nearest neighbours (Å) after each atom.
Space group P3m1 (No. 156)
Unique sites:
Hf (0.0000, 0.0000, 0.0000)  3 C 2.32
Hf (0.0000, 0.0000, 0.3073)  3 C 2.30
Hf (0.3333, 0.6667, 0.8007)  3 C 2.32
Nb (0.3333, 0.6667, 0.4982)  3 C 2.29
As (0.0000, 0.0000, 0.6447)  3 Nb 2.68, 3 Hf 2.76
As (0.3333, 0.6667, 0.1533)  6 Hf 2.73-2.74
C (0.6667, 0.3333, 0.4034)  3 Nb 2.29, 3 Hf 2.30
C (0.6667, 0.3333, 0.9009)  6 Hf 2.32

---

First-principles (GGA-PBE) data for a relaxed structure of Hf4NiAsC2, as listed in OQMD via LeMat-Bulk.

Calculated values
- ρ: 11.76 g/cm³
- VASP energy: -74.6 eV/cell

Unit cell a=3.3502 b=3.3502 c=12.6573 alpha=90.00 beta=90.00 gamma=120.00
With the nearest neighbours (Å) after each atom.
Space group P-6m2 (No. 187)
Unique sites:
Hf (0.0000, 0.0000, 0.1456)  3 C 2.35
Hf (0.6667, 0.3333, 0.3470)  3 C 2.28
Ni (0.6667, 0.3333, 0.0000)  6 Hf 2.67
As (0.0000, 0.0000, 0.5000)  6 Hf 2.74
C (0.3333, 0.6667, 0.2514)  6 Hf 2.28-2.35

---

First-principles (GGA-PBE) data for a relaxed structure of Hf4NiAsC2, as listed in OQMD via LeMat-Bulk.

Calculated values
- ρ: 11.74 g/cm³
- VASP energy: -74.6 eV/cell

Unit cell a=3.3535 b=3.3535 c=12.6632 alpha=90.00 beta=90.00 gamma=120.00
With the nearest neighbours (Å) after each atom.
Space group P-6m2 (No. 187)
Unique sites:
Hf (0.0000, 0.0000, 0.1456)  3 C 2.35
Hf (0.3333, 0.6667, 0.3470)  3 C 2.28
Ni (0.3333, 0.6667, 0.0000)  6 Hf 2.67
As (0.0000, 0.0000, 0.5000)  6 Hf 2.74
C (0.6667, 0.3333, 0.2514)  6 Hf 2.28-2.35